Record 1
# Mg2W

A relaxed Mg2W crystal (GGA-PBE, OQMD via LeMat-Bulk).

Summary:
magnetic moment: 5.035 μB/f.u.
energy above the lowest structure with this stoichiometry: 2.270 eV per atom

Lattice parameters (Å, degrees): 13.076 13.076 13.076 90.00 90.00 90.00
Space group Fd-3m (No. 227, origin choice 2)
Symmetry-distinct sites (fractional):
Mg: 0.000 0.000 0.000 (multiplicity 16)
W: 0.125 0.125 0.125 (multiplicity 8)



Record 2
# MgW

A relaxed MgW crystal (GGA-PBE, OQMD via LeMat-Bulk).

Summary:
magnetic moment: 0.006 μB/f.u.
energy above the lowest structure with this stoichiometry: 0.061 eV per atom

Lattice parameters (Å, degrees): 4.716 6.360 9.307 90.00 90.00 90.00
Space group Pmmn (No. 59, origin choice 2)
Symmetry-distinct sites (fractional):
Mg: 0.250 0.006 0.135 (multiplicity 4)
Mg: 0.250 0.750 0.376 (multiplicity 2)
Mg: 0.250 0.750 0.882 (multiplicity 2)
W: 0.250 0.250 0.404 (multiplicity 2)
W: 0.250 0.250 0.846 (multiplicity 2)
W: 0.250 0.502 0.627 (multiplicity 4)



Record 3
# MgW

A relaxed MgW crystal (GGA-PBE, OQMD via LeMat-Bulk).

Summary:
magnetic moment: 0.000 μB/f.u.
energy above the lowest structure with this stoichiometry: 0.071 eV per atom

Lattice parameters (Å, degrees): 5.611 16.016 4.650 90.00 90.00 90.00
Space group Pbcm (No. 57)
Symmetry-distinct sites (fractional):
Mg: 0.069 0.197 0.250 (multiplicity 4)
Mg: 0.218 0.623 0.750 (multiplicity 4)
Mg: 0.302 0.130 0.750 (multiplicity 4)
W: 0.088 0.530 0.250 (multiplicity 4)
W: 0.431 0.706 0.250 (multiplicity 4)
W: 0.442 0.041 0.250 (multiplicity 4)



Record 4
# MgW

A relaxed MgW crystal (GGA-PBE, OQMD via LeMat-Bulk).

Summary:
magnetic moment: 0.001 μB/f.u.
energy above the lowest structure with this stoichiometry: 0.192 eV per atom

Lattice parameters (Å, degrees): 4.681 11.990 5.141 90.00 90.00 90.00
Space group Pmmn (No. 59, origin choice 2)
Symmetry-distinct sites (fractional):
Mg: 0.250 0.000 0.182 (multiplicity 4)
Mg: 0.250 0.125 0.659 (multiplicity 4)
W: 0.250 0.250 0.144 (multiplicity 2)
W: 0.250 0.649 0.664 (multiplicity 4)
W: 0.250 0.750 0.185 (multiplicity 2)



Record 5
# MgW

A relaxed MgW crystal (GGA-PBE, OQMD via LeMat-Bulk).

Summary:
magnetic moment: 0.009 μB/f.u.
energy above the lowest structure with this stoichiometry: 0.142 eV per atom

Lattice parameters (Å, degrees): 4.612 9.525 4.849 90.00 90.00 90.00
Space group Pmc2_1 (No. 26)
Symmetry-distinct sites (fractional):
Mg: 0.000 0.080 0.000 (multiplicity 2)
Mg: 0.000 0.409 0.972 (multiplicity 2)
Mg: 0.500 0.405 0.345 (multiplicity 2)
W: 0.000 0.235 0.497 (multiplicity 2)
W: 0.500 0.090 0.369 (multiplicity 2)
W: 0.500 0.223 0.824 (multiplicity 2)



Record 6
# MgW

A relaxed MgW crystal (GGA-PBE, OQMD via LeMat-Bulk).

Summary:
magnetic moment: 0.004 μB/f.u.
energy above the lowest structure with this stoichiometry: 0.124 eV per atom

Lattice parameters (Å, degrees): 5.256 4.663 7.820 90.00 109.52 90.00
Space group Pm (No. 6)
Symmetry-distinct sites (fractional):
Mg: 0.000 0.000 0.000 (multiplicity 1)
Mg: 0.069 0.500 0.788 (multiplicity 1)
Mg: 0.171 0.000 0.393 (multiplicity 1)
Mg: 0.394 0.000 0.787 (multiplicity 1)
Mg: 0.674 0.500 0.998 (multiplicity 1)
W: 0.308 0.500 0.216 (multiplicity 1)
W: 0.486 0.500 0.570 (multiplicity 1)
W: 0.583 0.000 0.220 (multiplicity 1)
W: 0.757 0.000 0.568 (multiplicity 1)
W: 0.837 0.500 0.393 (multiplicity 1)



Record 7
# MgW

A relaxed MgW crystal (GGA-PBE, OQMD via LeMat-Bulk).

Summary:
magnetic moment: 0.001 μB/f.u.
energy above the lowest structure with this stoichiometry: 0.182 eV per atom

Lattice parameters (Å, degrees): 4.701 5.770 5.146 90.00 90.00 90.00
Space group Pmm2 (No. 25)
Symmetry-distinct sites (fractional):
Mg: 0.000 0.000 0.000 (multiplicity 1)
Mg: 0.000 0.261 0.466 (multiplicity 2)
Mg: 0.500 0.000 0.659 (multiplicity 1)
W: 0.000 0.500 0.953 (multiplicity 1)
W: 0.500 0.275 0.161 (multiplicity 2)
W: 0.500 0.500 0.629 (multiplicity 1)



Record 8
# MgW

A relaxed MgW crystal (GGA-PBE, OQMD via LeMat-Bulk).

Summary:
magnetic moment: 0.002 μB/f.u.
energy above the lowest structure with this stoichiometry: 0.172 eV per atom

Lattice parameters (Å, degrees): 4.725 14.245 5.129 90.00 90.00 90.00
Space group Amm2 (No. 38)
Symmetry-distinct sites (fractional):
Mg: 0.000 0.000 0.000 (multiplicity 2)
Mg: 0.000 0.098 0.489 (multiplicity 4)
Mg: 0.500 0.100 0.797 (multiplicity 4)
W: 0.000 0.209 0.020 (multiplicity 4)
W: 0.500 0.000 0.291 (multiplicity 2)
W: 0.500 0.201 0.293 (multiplicity 4)



Record 9
# Mg2W

A relaxed Mg2W crystal (GGA-PBE, OQMD via LeMat-Bulk).

Summary:
magnetic moment: 0.000 μB/f.u.
energy above the lowest structure with this stoichiometry: 0.273 eV per atom

Lattice parameters (Å, degrees): 2.799 15.523 4.943 90.00 90.00 90.00
Space group Cmcm (No. 63)
Symmetry-distinct sites (fractional):
Mg: 0.000 0.056 0.250 (multiplicity 4)
Mg: 0.000 0.277 0.750 (multiplicity 4)
W: 0.000 0.394 0.250 (multiplicity 4)



Record 10
# MgW

A relaxed MgW crystal (GGA-PBE, OQMD via LeMat-Bulk).

Summary:
magnetic moment: 0.004 μB/f.u.
energy above the lowest structure with this stoichiometry: 0.000 eV per atom

Lattice parameters (Å, degrees): 5.723 4.521 8.306 90.00 91.76 90.00
Space group P2_1/m (No. 11)
Symmetry-distinct sites (fractional):
Mg: 0.091 0.250 0.419 (multiplicity 2)
Mg: 0.265 0.750 0.235 (multiplicity 2)
Mg: 0.407 0.750 0.601 (multiplicity 2)
W: 0.066 0.750 0.909 (multiplicity 2)
W: 0.230 0.250 0.780 (multiplicity 2)
W: 0.422 0.250 0.058 (multiplicity 2)



Record 11
# MgW

A relaxed MgW crystal (GGA-PBE, OQMD via LeMat-Bulk).

Summary:
magnetic moment: 0.002 μB/f.u.
energy above the lowest structure with this stoichiometry: 0.071 eV per atom

Lattice parameters (Å, degrees): 6.152 4.873 4.818 90.00 90.00 90.00
Space group Pbcm (No. 57)
Symmetry-distinct sites (fractional):
Mg: 0.127 0.073 0.250 (multiplicity 4)
W: 0.409 0.599 0.250 (multiplicity 4)



Record 12
# MgW

A relaxed MgW crystal (GGA-PBE, OQMD via LeMat-Bulk).

Summary:
magnetic moment: 0.001 μB/f.u.
energy above the lowest structure with this stoichiometry: 0.208 eV per atom

Lattice parameters (Å, degrees): 5.7845 5.7845 4.7288 90.00 90.00 120.00
Space group P-6m2 (No. 187)
Symmetry-distinct sites (fractional):
Mg: 0.0000 0.0000 0.0000 (multiplicity 1)
Mg: 0.1732 0.3465 0.5000 (multiplicity 3)
W: 0.0069 0.5035 0.0000 (multiplicity 3)
W: 0.6667 0.3333 0.5000 (multiplicity 1)



Record 13
# Mg2W

A relaxed Mg2W crystal (GGA-PBE, OQMD via LeMat-Bulk).

Summary:
magnetic moment: 0.000 μB/f.u.
energy above the lowest structure with this stoichiometry: 0.000 eV per atom

Lattice parameters (Å, degrees): 2.834 16.585 4.732 90.00 90.00 90.00
Space group Cmcm (No. 63)
Symmetry-distinct sites (fractional):
Mg: 0.000 0.111 0.250 (multiplicity 4)
Mg: 0.000 0.206 0.750 (multiplicity 4)
W: 0.000 0.459 0.250 (multiplicity 4)



Record 14
# MgW

A relaxed MgW crystal (GGA-PBE, OQMD via LeMat-Bulk).

Summary:
magnetic moment: 0.000 μB/f.u.
energy above the lowest structure with this stoichiometry: 0.116 eV per atom

Lattice parameters (Å, degrees): 4.582 12.012 5.105 90.00 90.00 90.00
Space group Pmmn (No. 59, origin choice 2)
Symmetry-distinct sites (fractional):
Mg: 0.250 0.129 0.191 (multiplicity 4)
Mg: 0.250 0.250 0.726 (multiplicity 2)
Mg: 0.250 0.750 0.621 (multiplicity 2)
W: 0.250 0.013 0.668 (multiplicity 4)
W: 0.250 0.596 0.127 (multiplicity 4)



Record 15
# MgW2

A relaxed MgW2 crystal (GGA-PBE, OQMD via LeMat-Bulk).

Summary:
magnetic moment: 9.860 μB/f.u.
energy above the lowest structure with this stoichiometry: 4.373 eV per atom

Lattice parameters (Å, degrees): 12.807 12.807 12.807 90.00 90.00 90.00
Space group Fd-3m (No. 227, origin choice 2)
Symmetry-distinct sites (fractional):
Mg: 0.125 0.125 0.125 (multiplicity 8)
W: 0.000 0.000 0.000 (multiplicity 16)



Record 16
# Mg4W3

A relaxed Mg4W3 crystal (GGA-PBE, OQMD via LeMat-Bulk).

Summary:
magnetic moment: 0.003 μB/f.u.
energy above the lowest structure with this stoichiometry: 0.000 eV per atom

Lattice parameters (Å, degrees): 8.0481 8.0481 4.6887 90.00 90.00 120.00
Space group P6_3/m (No. 176)
Symmetry-distinct sites (fractional):
Mg: 0.0856 0.4625 0.2500 (multiplicity 6)
Mg: 0.3333 0.6667 0.7500 (multiplicity 2)
W: 0.0364 0.2046 0.7500 (multiplicity 6)



Record 17
# Mg2W

A relaxed Mg2W crystal (GGA-PBE, OQMD via LeMat-Bulk).

Summary:
magnetic moment: 0.001 μB/f.u.
energy above the lowest structure with this stoichiometry: 0.369 eV per atom

Lattice parameters (Å, degrees): 5.4494 5.4494 8.1800 90.00 90.00 120.00
Space group P6_3/mmc (No. 194)
Symmetry-distinct sites (fractional):
Mg: 0.0000 0.0000 0.0000 (multiplicity 2)
Mg: 0.1757 0.3515 0.2500 (multiplicity 6)
W: 0.3333 0.6667 0.5887 (multiplicity 4)



Record 18
# MgW

A relaxed MgW crystal (GGA-PBE, OQMD via LeMat-Bulk).

Summary:
magnetic moment: 0.001 μB/f.u.
energy above the lowest structure with this stoichiometry: 0.159 eV per atom

Lattice parameters (Å, degrees): 4.795 8.703 4.971 90.00 90.00 90.00
Space group Pmc2_1 (No. 26)
Symmetry-distinct sites (fractional):
Mg: 0.000 0.084 0.000 (multiplicity 2)
Mg: 0.000 0.244 0.493 (multiplicity 2)
Mg: 0.500 0.250 0.817 (multiplicity 2)
W: 0.000 0.437 0.025 (multiplicity 2)
W: 0.500 0.081 0.312 (multiplicity 2)
W: 0.500 0.421 0.311 (multiplicity 2)



Record 19
# MgZnW2

A relaxed MgZnW2 crystal (GGA-PBE, OQMD via LeMat-Bulk).

Summary:
uncorrected energy: -108.87 eV per cell
magnetic moment: 0.001 μB/f.u.

Lattice parameters (Å, degrees): 6.346 6.346 6.346 90.00 90.00 90.00
Space group F-43m (No. 216)
Symmetry-distinct sites (fractional):
Mg: 0.000 0.000 0.000 (multiplicity 4)
Zn: 0.250 0.250 0.750 (multiplicity 4)
W: 0.000 0.000 0.500 (multiplicity 4)
W: 0.250 0.250 0.250 (multiplicity 4)



Record 20
# YMgZn

A relaxed YMgZn crystal (GGA-PBE, OQMD via LeMat-Bulk).

Summary:
magnetic moment: 0.154 μB/f.u.
energy above the lowest structure with this stoichiometry: 0.322 eV per atom

Lattice parameters (Å, degrees): 3.5612 3.5612 13.4573 90.00 90.00 120.00
Space group P3m1 (No. 156)
Symmetry-distinct sites (fractional):
Y: 0.0000 0.0000 0.0000 (multiplicity 1)
Y: 0.3333 0.6667 0.2117 (multiplicity 1)
Mg: 0.0000 0.0000 0.6245 (multiplicity 1)
Mg: 0.6667 0.3333 0.8005 (multiplicity 1)
Zn: 0.0000 0.0000 0.3737 (multiplicity 1)
Zn: 0.6667 0.3333 0.4842 (multiplicity 1)